Density functional theory data (GGA-PBE) for a relaxed structure of HS5.

Output
- energy (eV/atom) = -3.27

a b c (Å): 2.136 11.034 10.356
angles (deg): 141.97 95.92 90.00
Fractional positions:
S  0.676  0.244  0.352
S  0.384  0.881  0.769
H  0.974  0.989  0.947
S  0.282  0.038  0.564
S  0.951  0.605  0.901
S  0.567  0.409  0.134

---

Density functional theory data (GGA-PBE) for a relaxed structure of Sm4Al2CdAg.

Output
- formation energy from the elements (eV/atom) = -0.322

a b c (Å): 5.283 5.283 9.168
angles (deg): 73.25 73.25 60.00
Fractional positions:
Al  0.748  0.748  0.755
Sm  0.127  0.127  0.619
Ag  0.500  0.500  0.500
Sm  0.377  0.377  0.869
Sm  0.873  0.873  0.381
Cd  0.000  0.000  0.000
Al  0.252  0.252  0.245
Sm  0.623  0.623  0.131

---

Density functional theory data (GGA-PBE) for a relaxed structure of LaPr2SiN4.

Output
- raw formation energy (meV/atom) = -1116

a b c (Å): 3.525 6.209 12.219
angles (deg): 90.00 90.00 106.49
Fractional positions:
La  0.092  0.184  0.750
N  0.273  0.547  0.138
N  0.727  0.453  0.862
N  0.400  0.799  0.750
Si  0.183  0.366  0.250
Pr  0.633  0.266  0.043
La  0.908  0.816  0.250
Pr  0.633  0.266  0.457
N  0.273  0.547  0.362
Pr  0.367  0.734  0.543
N  0.727  0.453  0.638
N  0.600  0.201  0.250
N  0.000  0.000  0.000
Si  0.817  0.634  0.750
Pr  0.367  0.734  0.957
N  0.000  0.000  0.500

---

Density functional theory data (GGA-PBE) for a relaxed structure of YFe2Ru2.

Output
- offset from the most stable computed form (meV per atom) = 0
- formation energy from the elements (eV/atom) = 0.003

a b c (Å): 4.065 4.065 5.631
angles (deg): 68.84 68.84 90.00
Fractional positions:
Fe  0.387  0.387  0.226
Ru  0.250  0.750  0.500
Y  0.000  0.000  0.000
Ru  0.750  0.250  0.500
Fe  0.613  0.613  0.774

---

Density functional theory data (GGA-PBE) for a relaxed structure of V2Co2Hg.

Output
- offset from the most stable computed form (meV per atom) = 173
- formation energy from the elements (eV/atom) = 0.224

a b c (Å): 7.266 7.266 2.646
angles (deg): 90.00 90.00 90.00
Fractional positions:
Hg  0.500  0.500  0.000
Hg  0.000  0.000  0.000
Co  0.645  0.855  0.500
V  0.639  0.139  0.000
Co  0.355  0.145  0.500
V  0.861  0.639  0.000
Co  0.855  0.355  0.500
V  0.139  0.361  0.000
V  0.361  0.861  0.000
Co  0.145  0.645  0.500

---

Density functional theory data (GGA-PBE) for a relaxed structure of KAu2Cl2.

Output
- raw formation energy (meV/atom) = -359
- offset from the most stable computed form (meV per atom) = 174

a b c (Å): 8.845 8.845 3.363
angles (deg): 90.00 90.00 90.00
Fractional positions:
Au  0.104  0.604  0.500
K  0.500  0.500  0.000
Au  0.896  0.396  0.500
Au  0.396  0.104  0.500
Cl  0.769  0.731  0.000
Cl  0.231  0.269  0.000
Au  0.604  0.896  0.500
Cl  0.731  0.231  0.000
Cl  0.269  0.769  0.000
K  0.000  0.000  0.000

---

Density functional theory data (GGA-PBE) for a relaxed structure of Hg2Se.

Output
- raw formation energy (meV/atom) = 120
- offset from the most stable computed form (meV per atom) = 212

a b c (Å): 5.154 5.154 6.178
angles (deg): 90.00 90.00 110.53
Fractional positions:
Se  0.250  0.250  0.250
Hg  0.918  0.582  0.250
Hg  0.418  0.082  0.750
Se  0.750  0.750  0.750
Hg  0.082  0.418  0.750
Hg  0.582  0.918  0.250

---

Density functional theory data (GGA-PBE) for a relaxed structure of Ac4HgRu.

Output
- offset from the most stable computed form (meV per atom) = 49
- formation energy from the elements (eV/atom) = -0.214

a b c (Å): 7.352 8.164 9.321
angles (deg): 110.67 107.46 102.44
Fractional positions:
Ru  0.170  0.920  0.840
Ru  0.830  0.080  0.160
Hg  0.366  0.616  0.232
Ac  0.038  0.813  0.089
Hg  0.634  0.384  0.768
Ac  0.798  0.633  0.585
Ac  0.287  0.953  0.585
Ac  0.551  0.276  0.089
Ac  0.449  0.724  0.911
Ac  0.713  0.047  0.415
Ac  0.962  0.187  0.911
Ac  0.202  0.367  0.415